1.
DFT (PBE) results for crystalline Tb5TmPt6 at its relaxed geometry.

Cell and atoms, written as extended XYZ:
```
12
Lattice="7.847 -3.471 0.000 7.847 3.471 0.000 -1.555 0.000 4.717" Properties=species:S:1:pos:R:3 pbc="T T T"
Tb 0.000 0.000 0.000
Tb 1.578 0.000 3.147
Tb 4.715 0.000 1.572
Tb 9.425 0.000 3.145
Tb 12.563 0.000 1.570
Tm 7.847 0.000 0.000
Pt 3.980 1.718 3.941
Pt 7.070 1.702 2.359
Pt 10.161 1.718 0.776
Pt 3.980 -1.718 3.941
Pt 7.070 -1.702 2.359
Pt 10.161 -1.718 0.776
```

Values from the calculation:
Mass density ... 13791 kg/m³
Magnetic moment ... 0.0000 μB per atom
Total energy ... -78.44 eV/f.u.
Symmetry ... C2/m
Formation enthalpy at 0 K ... -14.577 eV per formula unit

=====

2.
DFT (PBE) results for crystalline Tb4Tm3Pt4 at its relaxed geometry.

Cell and atoms, written as extended XYZ:
```
11
Lattice="-1.884 4.379 8.184 1.884 -4.379 8.184 1.884 4.379 -8.184" Properties=species:S:1:pos:R:3 pbc="T T T"
Tb 1.884 -2.741 5.482
Tb 0.000 1.637 2.703
Tb 1.884 2.741 5.482
Tb 0.000 7.120 2.703
Tm 1.884 0.000 0.000
Tm 0.000 0.000 6.588
Tm 0.000 0.000 9.781
Pt 1.884 0.000 4.244
Pt 0.000 2.587 0.000
Pt 0.000 6.170 0.000
Pt 0.000 4.379 3.940
```

Values from the calculation:
Mass density ... 11823 kg/m³
Magnetic moment ... 0.0000 μB per atom
Total energy ... -66.11 eV/f.u.
Symmetry ... Immm
Formation enthalpy at 0 K ... -10.010 eV per formula unit

=====

3.
DFT (PBE) results for crystalline TbTm5Pt6 at its relaxed geometry.

Cell and atoms, written as extended XYZ:
```
12
Lattice="4.230 -7.337 0.000 4.230 7.337 0.000 -2.827 0.000 3.996" Properties=species:S:1:pos:R:3 pbc="T T T"
Tb 0.000 0.000 0.000
Tm 2.817 4.889 1.998
Tm 4.230 2.448 0.000
Tm 2.817 0.000 1.998
Tm 4.230 -2.448 0.000
Tm 2.817 -4.889 1.998
Pt 1.421 2.476 1.007
Pt 0.024 0.000 3.018
Pt 1.421 -2.476 1.007
Pt 4.212 2.476 2.989
Pt 5.609 0.000 0.978
Pt 4.212 -2.476 2.989
```

Values from the calculation:
Mass density ... 14553 kg/m³
Magnetic moment ... 0.0000 μB per atom
Total energy ... -78.51 eV/f.u.
Symmetry ... C2/m
Formation enthalpy at 0 K ... -15.274 eV per formula unit

=====

4.
DFT (PBE) results for crystalline Tb2Tm3Pt2 at its relaxed geometry.

Cell and atoms, written as extended XYZ:
```
7
Lattice="6.097 -1.865 0.000 6.097 1.865 0.000 -4.024 0.000 8.024" Properties=species:S:1:pos:R:3 pbc="T T T"
Tb 0.727 0.000 2.494
Tb 7.443 0.000 5.530
Tm 4.435 0.000 0.519
Tm 4.085 0.000 4.012
Tm 3.735 0.000 7.505
Pt -0.880 0.000 5.930
Pt 9.049 0.000 2.093
```

Values from the calculation:
Mass density ... 11056 kg/m³
Magnetic moment ... 0.0002 μB per atom
Total energy ... -40.48 eV/f.u.
Symmetry ... C2/m
Formation enthalpy at 0 K ... -5.723 eV per formula unit

=====

5.
DFT (PBE) results for crystalline Tb3TmPt at its relaxed geometry.

Cell and atoms, written as extended XYZ:
```
10
Lattice="6.381 0.000 0.000 0.000 5.147 0.000 -1.065 0.000 8.650" Properties=species:S:1:pos:R:3 pbc="T T T"
Tb 1.095 1.287 0.180
Tb 0.909 1.287 3.814
Tb 0.960 3.860 6.572
Tb 4.356 1.287 2.077
Tb 4.407 3.860 4.835
Tb 4.221 3.860 8.470
Tm 2.247 3.860 1.820
Tm 3.068 1.287 6.830
Pt -0.582 1.287 6.139
Pt 5.898 3.860 2.510
```

Values from the calculation:
Mass density ... 9830 kg/m³
Magnetic moment ... 0.0000 μB per atom
Total energy ... -26.74 eV/f.u.
Symmetry ... P2_1/m
Formation enthalpy at 0 K ... -2.335 eV per formula unit

=====

6.
DFT (PBE) results for crystalline Tb2Tm2Pt3 at its relaxed geometry.

Cell and atoms, written as extended XYZ:
```
14
Lattice="-4.345 4.345 4.345 4.345 -4.345 4.345 4.345 4.345 -4.345" Properties=species:S:1:pos:R:3 pbc="T T T"
Tb 3.788 0.557 -0.557
Tb 0.557 0.557 0.557
Tb 0.557 -0.557 3.788
Tb -0.557 3.788 0.557
Tm 5.966 -1.621 1.621
Tm 1.621 5.966 -1.621
Tm 2.724 2.724 2.724
Tm -1.621 1.621 5.966
Pt 6.517 1.043 0.000
Pt 3.302 0.000 2.172
Pt 2.172 3.302 0.000
Pt 0.000 2.172 3.302
Pt 1.043 0.000 6.517
Pt 0.000 6.517 1.043
```

Values from the calculation:
Mass density ... 12561 kg/m³
Magnetic moment ... 0.0000 μB per atom
Total energy ... -44.22 eV/f.u.
Symmetry ... I2_13
Formation enthalpy at 0 K ... -7.895 eV per formula unit